[1]
K2InHg2, relaxed, DFT GGA-PBEsol; final energy = -1.43 eV/atom; Fermi-level density of states = 0.66 states/eV/atom; ρ = 6.18 g/cm3
1.0
5.439 0.000 0.000
0.000 7.661 0.000
0.000 0.000 7.661
K Hg In
4 4 2
Direct
0.500 0.175 0.675
0.500 0.675 0.825
0.500 0.825 0.325
0.500 0.325 0.175
0.000 0.363 0.863
0.000 0.863 0.637
0.000 0.637 0.137
0.000 0.137 0.363
0.000 0.000 0.000
0.000 0.500 0.500



[2]
KIn2Hg, relaxed, DFT GGA-PBEsol; final energy = -2.03 eV/atom; Fermi-level density of states = 0.36 states/eV/atom; ρ = 6.86 g/cm3
1.0
-3.115 0.448 0.837
-0.095 -4.224 1.908
3.745 2.702 6.167
K Hg In
1 1 2
Direct
0.069 0.000 0.514
0.698 0.500 0.774
0.819 0.000 0.010
0.413 0.500 0.203



[3]
K2InHg, relaxed, DFT GGA-PBEsol; final energy = -1.56 eV/atom; relative energy among the computed polymorphs = 0.001 eV/atom; Fermi-level density of states = 0.58 states/eV/atom; ρ = 4.58 g/cm3
1.0
-2.250 -3.854 -0.362
1.060 -1.158 5.752
-3.927 5.020 -1.356
K Hg In
2 1 1
Direct
0.978 0.978 0.956
0.779 0.279 0.559
0.542 0.542 0.084
0.201 0.701 0.402



[4]
KIn2Hg, relaxed, DFT GGA-PBEsol; final energy = -1.99 eV/atom; Fermi-level density of states = 0.48 states/eV/atom; ρ = 7.37 g/cm3
1.0
-1.917 -3.328 3.665
-3.802 -3.471 -1.296
1.119 -5.183 -0.276
Hg In K
1 2 1
Direct
0.500 0.500 0.500
0.000 0.000 0.000
0.750 0.750 0.750
0.250 0.250 0.250



Q: Number 2 is which compound?
A: KIn2Hg



Q: Which of these has the highest ρ?
A: number 4



Please write out number 1 again, unchanged.
K2InHg2, relaxed, DFT GGA-PBEsol; final energy = -1.43 eV/atom; Fermi-level density of states = 0.66 states/eV/atom; ρ = 6.18 g/cm3
1.0
5.439 0.000 0.000
0.000 7.661 0.000
0.000 0.000 7.661
K Hg In
4 4 2
Direct
0.500 0.175 0.675
0.500 0.675 0.825
0.500 0.825 0.325
0.500 0.325 0.175
0.000 0.363 0.863
0.000 0.863 0.637
0.000 0.637 0.137
0.000 0.137 0.363
0.000 0.000 0.000
0.000 0.500 0.500



Q: Number 2 is which compound?
A: KIn2Hg